1.
Entry from the Alexandria database: a relaxed structure of Ho2AlGa3Ir4 (GGA-PBE).

Properties
energy of formation from the pure elements	-0.75	eV per atom

a = 4.1930 Å, b = 4.1930 Å, c = 10.3595 Å
α = 90.00°, β = 90.00°, γ = 90.00°
Closest atoms and distances in Å follow each position.
Space group P-4m2 (No. 115)
Inequivalent atoms, fractional coordinates:
Ho 0.0000 0.5000 0.2322 (multiplicity 2)  6 Ga 3.15-3.48, 8 Ir 3.19-3.27, 2 Al 3.48
Al 0.0000 0.0000 0.5000 (multiplicity 1)  4 Ir 2.52
Ga 0.0000 0.5000 0.8711 (multiplicity 2)  5 Ir 2.45-2.49
Ga 0.5000 0.5000 0.5000 (multiplicity 1)  4 Ir 2.52
Ir 0.0000 0.0000 0.0000 (multiplicity 1)  4 Ga 2.49
Ir 0.0000 0.5000 0.6347 (multiplicity 2)  3 Ga 2.45-2.52, 2 Al 2.52
Ir 0.5000 0.5000 0.0000 (multiplicity 1)  4 Ga 2.49

=====

2.
Entry from the Alexandria database: a relaxed structure of Cs2YMnBr6 (GGA-PBE).

Properties
formation energy without anion corrections	-140	kJ per mole of atoms

a = 11.1239 Å, b = 11.1239 Å, c = 11.1239 Å
α = 90.00°, β = 90.00°, γ = 90.00°
Closest atoms and distances in Å follow each position.
Space group Fm-3m (No. 225)
Inequivalent atoms, fractional coordinates:
Cs 0.2500 0.2500 0.2500 (multiplicity 8)  12 Br 3.93
Y 0.0000 0.0000 0.0000 (multiplicity 4)  6 Br 2.83
Mn 0.0000 0.0000 0.5000 (multiplicity 4)  6 Br 2.73
Br 0.0000 0.0000 0.2547 (multiplicity 24)  1 Mn 2.73, 1 Y 2.83